No. 1
# LiNbSeBr2 PBEsol relaxed
data_LiNbSeBr2
_chemical_formula_sum 'Li1 Nb1 Se1 Br2'
_cell_length_a 5.220
_cell_length_b 5.220
_cell_length_c 4.973
_cell_angle_alpha 90.00
_cell_angle_beta 90.00
_cell_angle_gamma 90.00
_symmetry_space_group_name_H-M 'P 4/m m m'
_symmetry_Int_Tables_number 123
_symmetry_space_group_name_Hall '-P 4 2'
loop_
_atom_site_label
_atom_site_fract_x
_atom_site_fract_y
_atom_site_fract_z
_atom_site_occupancy
Li1 0.000 0.000 0.000 1
Nb1 0.500 0.500 0.500 1
Se1 0.500 0.500 0.000 1
Br1 0.000 0.500 0.500 1
# * E: -4.6133 eV per atom
# * DOS at the Fermi energy: 2.6 states/eV/f.u.
# * uncorrected formation energy: -52 kJ/mol of atoms

No. 2
# ZrTiFeAu2 PBEsol relaxed
data_ZrTiFeAu2
_chemical_formula_sum 'Zr1 Ti1 Fe1 Au2'
_cell_length_a 4.788
_cell_length_b 4.788
_cell_length_c 4.308
_cell_angle_alpha 90.00
_cell_angle_beta 90.00
_cell_angle_gamma 90.00
_symmetry_space_group_name_H-M 'P 4/m m m'
_symmetry_Int_Tables_number 123
_symmetry_space_group_name_Hall '-P 4 2'
loop_
_atom_site_label
_atom_site_fract_x
_atom_site_fract_y
_atom_site_fract_z
_atom_site_occupancy
Zr1 0.000 0.000 0.000 1
Ti1 0.500 0.500 0.000 1
Fe1 0.000 0.000 0.500 1
Au1 0.000 0.500 0.500 1
# * DFT formation energy: 0.52 eV/atom
# * E: -6.3213 eV per atom
# * DOS at the Fermi energy: 6.8 states/eV/f.u.

No. 3
# LaCu2PtS PBEsol relaxed
data_LaCu2PtS
_chemical_formula_sum 'La1 Cu2 Pt1 S1'
_cell_length_a 4.964
_cell_length_b 4.964
_cell_length_c 5.148
_cell_angle_alpha 90.00
_cell_angle_beta 90.00
_cell_angle_gamma 90.00
_symmetry_space_group_name_H-M 'P 4/m m m'
_symmetry_Int_Tables_number 123
_symmetry_space_group_name_Hall '-P 4 2'
loop_
_atom_site_label
_atom_site_fract_x
_atom_site_fract_y
_atom_site_fract_z
_atom_site_occupancy
La1 0.000 0.000 0.000 1
Cu1 0.000 0.500 0.000 1
Pt1 0.500 0.500 0.500 1
S1 0.000 0.000 0.500 1
# * E: -3.7237 eV per atom
# * DOS at the Fermi energy: 6.9 states/eV/f.u.
# * uncorrected formation energy: 130 kJ/mol of atoms

No. 4
# CsNa2Hf PBEsol relaxed
data_CsNa2Hf
_chemical_formula_sum 'Cs4 Na8 Hf4'
_cell_length_a 9.306
_cell_length_b 9.306
_cell_length_c 7.117
_cell_angle_alpha 90.00
_cell_angle_beta 90.00
_cell_angle_gamma 90.00
_symmetry_space_group_name_H-M 'I -4 2 d'
_symmetry_Int_Tables_number 122
_symmetry_space_group_name_Hall 'I -4 2bw'
loop_
_atom_site_label
_atom_site_fract_x
_atom_site_fract_y
_atom_site_fract_z
_atom_site_occupancy
Cs1 0.000 0.000 0.000 1
Na1 0.232 0.250 0.625 1
Hf1 0.000 0.000 0.500 1
# * DFT formation energy: 1.19 eV/atom
# * E: -2.3673 eV per atom
# * DOS at the Fermi energy: 5.0 states/eV/f.u.

No. 5
# KCu PBEsol relaxed
data_KCu
_chemical_formula_sum 'K2 Cu2'
_cell_length_a 3.434
_cell_length_b 3.434
_cell_length_c 9.552
_cell_angle_alpha 90.00
_cell_angle_beta 90.00
_cell_angle_gamma 90.00
_symmetry_space_group_name_H-M 'P 4/n m m'
_symmetry_Int_Tables_number 129
loop_
_symmetry_equiv_pos_as_xyz
'x,y,z'
'-x,-y,-z'
'-y+1/2,x,z'
'y+1/2,-x,-z'
'-x+1/2,-y+1/2,z'
'x+1/2,y+1/2,-z'
'y,-x+1/2,z'
'-y,x+1/2,-z'
'x+1/2,-y,-z'
'-x+1/2,y,z'
'-y,-x,-z'
'y,x,z'
'-x,y+1/2,-z'
'x,-y+1/2,z'
'y+1/2,x+1/2,-z'
'-y+1/2,-x+1/2,z'
loop_
_atom_site_label
_atom_site_fract_x
_atom_site_fract_y
_atom_site_fract_z
_atom_site_occupancy
K1 0.250 0.250 0.213 1
Cu1 0.250 0.250 0.521 1
# * DFT formation energy: 0.40 eV/atom
# * E: -2.3323 eV per atom
# * DOS at the Fermi energy: 0.9 states/eV/f.u.
# * energy relative to the lowest polymorph listed for this composition: 0.000 eV per atom

No. 6
# Rb2HgPd2 PBEsol relaxed
data_Rb2HgPd2
_chemical_formula_sum 'Rb4 Hg2 Pd4'
_cell_length_a 6.990
_cell_length_b 6.990
_cell_length_c 5.358
_cell_angle_alpha 90.00
_cell_angle_beta 90.00
_cell_angle_gamma 90.00
_symmetry_space_group_name_H-M 'P 4/m b m'
_symmetry_Int_Tables_number 127
_symmetry_space_group_name_Hall '-P 4 2ab'
loop_
_atom_site_label
_atom_site_fract_x
_atom_site_fract_y
_atom_site_fract_z
_atom_site_occupancy
Rb1 0.177 0.323 0.000 1
Hg1 0.000 0.000 0.500 1
Pd1 0.134 0.634 0.500 1
# * DFT formation energy: 0.02 eV/atom
# * E: -2.8858 eV per atom
# * DOS at the Fermi energy: 1.2 states/eV/f.u.

No. 7
# In2SiSb PBEsol relaxed
data_In2SiSb
_chemical_formula_sum 'In2 Si1 Sb1'
_cell_length_a 3.961
_cell_length_b 4.648
_cell_length_c 5.052
_cell_angle_alpha 90.00
_cell_angle_beta 90.00
_cell_angle_gamma 90.00
_symmetry_space_group_name_H-M 'P m m m'
_symmetry_Int_Tables_number 47
loop_
_symmetry_equiv_pos_as_xyz
'x,y,z'
'-x,-y,-z'
'-x,-y,z'
'x,y,-z'
'x,-y,-z'
'-x,y,z'
'-x,y,-z'
'x,-y,z'
loop_
_atom_site_label
_atom_site_fract_x
_atom_site_fract_y
_atom_site_fract_z
_atom_site_occupancy
In1 0.000 0.000 0.000 1
In2 0.500 0.500 0.000 1
Si1 0.000 0.500 0.500 1
Sb1 0.500 0.000 0.500 1
# * E: -3.7953 eV per atom
# * DOS at the Fermi energy: 1.8 states/eV/f.u.
# * energy relative to the lowest polymorph listed for this composition: 0.000 eV per atom
# * uncorrected formation energy: 26 kJ/mol of atoms

No. 8
# La2SeBr PBEsol relaxed
data_La2SeBr
_chemical_formula_sum 'La6 Se3 Br3'
_cell_length_a 4.2981
_cell_length_b 4.2981
_cell_length_c 20.3607
_cell_angle_alpha 90.00
_cell_angle_beta 90.00
_cell_angle_gamma 120.00
_symmetry_space_group_name_H-M 'R -3 m'
_symmetry_Int_Tables_number 166
_symmetry_space_group_name_Hall '-R 3 2"'
loop_
_atom_site_label
_atom_site_fract_x
_atom_site_fract_y
_atom_site_fract_z
_atom_site_occupancy
La1 0.0000 0.0000 0.2457 1
Se1 0.0000 0.0000 0.5000 1
Br1 0.0000 0.0000 0.0000 1
# * E: -5.8027 eV per atom
# * DOS at the Fermi energy: 2.5 states/eV/f.u.
# * energy relative to the lowest polymorph listed for this composition: 0.000 eV per atom
# * uncorrected formation energy: -164 kJ/mol of atoms

No. 9
# PbCl2 PBEsol relaxed
data_PbCl2
_chemical_formula_sum 'Pb4 Cl8'
_cell_length_a 12.567
_cell_length_b 3.996
_cell_length_c 7.125
_cell_angle_alpha 90.00
_cell_angle_beta 103.48
_cell_angle_gamma 90.00
_symmetry_space_group_name_H-M 'C 1 2/m 1'
_symmetry_Int_Tables_number 12
loop_
_symmetry_equiv_pos_as_xyz
'x,y,z'
'-x,-y,-z'
'-x,y,-z'
'x,-y,z'
'x+1/2,y+1/2,z'
'-x+1/2,-y+1/2,-z'
'-x+1/2,y+1/2,-z'
'x+1/2,-y+1/2,z'
loop_
_atom_site_label
_atom_site_fract_x
_atom_site_fract_y
_atom_site_fract_z
_atom_site_occupancy
Pb1 0.108 0.000 0.301 1
Cl1 0.000 0.500 0.000 1
Cl2 0.000 0.500 0.500 1
Cl3 0.232 0.000 0.702 1
# * E: -3.7644 eV per atom
# * DOS at the Fermi energy: 0.0 states/eV/f.u.
# * uncorrected formation energy: -105 kJ/mol of atoms

No. 10
# ZnSn3Rh PBEsol relaxed
data_ZnSn3Rh
_chemical_formula_sum 'Zn1 Sn3 Rh1'
_cell_length_a 4.960
_cell_length_b 4.960
_cell_length_c 4.960
_cell_angle_alpha 90.00
_cell_angle_beta 90.00
_cell_angle_gamma 90.00
_symmetry_space_group_name_H-M 'P m -3 m'
_symmetry_Int_Tables_number 221
_symmetry_space_group_name_Hall '-P 4 2 3'
loop_
_atom_site_label
_atom_site_fract_x
_atom_site_fract_y
_atom_site_fract_z
_atom_site_occupancy
Zn1 0.000 0.000 0.000 1
Sn1 0.000 0.000 0.500 1
Rh1 0.500 0.500 0.500 1
# * DFT formation energy: 0.84 eV/atom
# * E: -3.6645 eV per atom
# * DOS at the Fermi energy: 3.4 states/eV/f.u.

No. 11
# MgPbC2 PBEsol relaxed
data_MgPbC2
_chemical_formula_sum 'Mg4 Pb4 C8'
_cell_length_a 5.375
_cell_length_b 5.375
_cell_length_c 9.359
_cell_angle_alpha 90.00
_cell_angle_beta 90.00
_cell_angle_gamma 90.00
_symmetry_space_group_name_H-M 'I -4 2 d'
_symmetry_Int_Tables_number 122
_symmetry_space_group_name_Hall 'I -4 2bw'
loop_
_atom_site_label
_atom_site_fract_x
_atom_site_fract_y
_atom_site_fract_z
_atom_site_occupancy
Mg1 0.000 0.000 0.000 1
Pb1 0.000 0.000 0.500 1
C1 0.245 0.250 0.125 1
# * DFT formation energy: 1.58 eV/atom
# * E: -4.6663 eV per atom
# * DOS at the Fermi energy: 3.2 states/eV/f.u.

No. 12
# K3HoCl6 PBEsol relaxed
data_K3HoCl6
_chemical_formula_sum 'K12 Ho4 Cl24'
_cell_length_a 12.932
_cell_length_b 7.683
_cell_length_c 12.378
_cell_angle_alpha 90.00
_cell_angle_beta 109.79
_cell_angle_gamma 90.00
_symmetry_space_group_name_H-M 'P 1 21/c 1'
_symmetry_Int_Tables_number 14
loop_
_symmetry_equiv_pos_as_xyz
'x,y,z'
'-x,-y,-z'
'-x,y+1/2,-z+1/2'
'x,-y+1/2,z+1/2'
loop_
_atom_site_label
_atom_site_fract_x
_atom_site_fract_y
_atom_site_fract_z
_atom_site_occupancy
K1 0.112 0.043 0.374 1
K2 0.316 0.056 0.769 1
K3 0.323 0.581 0.611 1
Ho1 0.000 0.000 0.000 1
Ho2 0.500 0.000 0.500 1
Cl1 0.102 0.031 0.854 1
Cl2 0.106 0.707 0.075 1
Cl3 0.154 0.171 0.151 1
Cl4 0.335 0.702 0.892 1
Cl5 0.354 0.232 0.501 1
Cl6 0.499 0.631 0.195 1
# * E: -4.1606 eV per atom
# * DOS at the Fermi energy: 0.0 states/eV/f.u.
# * uncorrected formation energy: -205 kJ/mol of atoms